No. 1
## LiMgAl2Au2 (PBE)

Data for crystalline LiMgAl2Au2 at its relaxed geometry.

Cell: 4.4794 4.4794 5.8252 Å, 90.00 90.00 120.00°
With the nearest neighbours (Å) after each atom.
Element x y z (fractional)
Li1 0.0000 0.0000 0.0000  6 Al 2.86, 2 Mg 2.91, 6 Au 2.98
Mg1 0.0000 0.0000 0.5000  2 Li 2.91, 6 Au 2.96, 6 Al 3.08
Al1 0.3333 0.6667 0.7886  4 Au 2.60-2.71, 3 Li 2.86
Al2 0.6667 0.3333 0.2114  4 Au 2.60-2.71, 3 Li 2.86
Au1 0.3333 0.6667 0.2540  4 Al 2.60-2.71
Au2 0.6667 0.3333 0.7460  4 Al 2.60-2.71

Results
final energy: -3.444 eV per atom
formation energy from the elements: -519 meV per atom
total magnetic moment: 0.00 μB per cell

=====

No. 2
## Hf2SnRh2 (PBE)

Data for crystalline Hf2SnRh2 at its relaxed geometry.

Cell: 4.4725 4.4725 6.1428 Å, 68.65 68.65 90.00°
With the nearest neighbours (Å) after each atom.
Element x y z (fractional)
Rh1 0.3812 0.3812 0.2376  1 Rh 2.50, 4 Hf 2.63
Rh2 0.6188 0.6188 0.7624  1 Rh 2.50, 4 Hf 2.63
Hf1 0.7500 0.2500 0.5000  4 Rh 2.63
Hf2 0.2500 0.7500 0.5000  4 Rh 2.63
Sn1 0.0000 0.0000 0.0000  8 Rh 3.40, 8 Hf 3.45

Results
final energy: -8.218 eV per atom
formation energy from the elements: -496 meV per atom
total magnetic moment: 0.00 μB per cell

=====

No. 3
## BaNb2Ga (PBE)

Data for crystalline BaNb2Ga at its relaxed geometry.

Cell: 4.9271 4.9271 10.5748 Å, 76.53 76.53 90.00°
With the nearest neighbours (Å) after each atom.
Element x y z (fractional)
Nb1 0.3749 0.1250 0.2500  2 Nb 2.46
Nb2 0.3751 0.6250 0.2500  2 Nb 2.46
Nb3 0.3750 0.6251 0.7500  2 Nb 2.46
Nb4 0.8750 0.6249 0.7500  2 Nb 2.46
Ba1 0.0000 0.0000 0.0000  4 Ga 3.48, 8 Nb 3.72
Ba2 0.7500 0.2500 0.5000  4 Ga 3.48, 8 Nb 3.72
Ga1 0.5000 0.5000 0.0000  4 Nb 2.78
Ga2 0.2500 0.7500 0.5000  4 Nb 2.78

Results
final energy: -5.583 eV per atom
formation energy from the elements: 689 meV per atom
total magnetic moment: 0.00 μB per cell

=====

No. 4
## SrSbWI2 (PBE)

Data for crystalline SrSbWI2 at its relaxed geometry.

Cell: 5.7122 5.7122 5.3067 Å, 90.00 90.00 90.00°
With the nearest neighbours (Å) after each atom.
Element x y z (fractional)
I1 0.0000 0.5000 0.0000  2 W 2.86
I2 0.5000 0.0000 0.0000  2 W 2.86
Sb1 0.0000 0.0000 0.5000  2 W 2.65
W1 0.0000 0.0000 0.0000  2 Sb 2.65, 4 I 2.86
Sr1 0.5000 0.5000 0.5000  8 I 3.90, 4 Sb 4.04

Results
final energy: -4.225 eV per atom
total magnetic moment: 2.19 μB per cell
polymorph energy (0 for the lowest one): 0.000 eV/atom
ΔE_f (raw): 0.73 eV per formula unit

=====

No. 5
## HfGaO2 (PBE)

Data for crystalline HfGaO2 at its relaxed geometry.

Cell: 7.3274 7.3274 7.3274 Å, 25.33 25.33 25.33°
With the nearest neighbours (Å) after each atom.
Element x y z (fractional)
Hf1 0.5000 0.5000 0.5000  6 O 2.10
O1 0.8799 0.8799 0.8799  3 Hf 2.10
O2 0.1201 0.1201 0.1201  3 Hf 2.10
Ga1 0.0000 0.0000 0.0000  2 O 2.55

Results
final energy: -8.016 eV per atom
total magnetic moment: 0.00 μB per cell
ΔE_f (raw): -9.17 eV per formula unit

=====

No. 6
## Pr2SmBi3 (PBE)

Data for crystalline Pr2SmBi3 at its relaxed geometry.

Cell: 4.6165 6.5215 7.9913 Å, 114.08 106.79 90.00°
With the nearest neighbours (Å) after each atom.
Element x y z (fractional)
Pr1 0.8326 0.8326 0.1653  6 Bi 3.26-3.28
Pr2 0.1674 0.1674 0.8347  6 Bi 3.26-3.28
Sm1 0.5000 0.5000 0.5000  6 Bi 3.24-3.26
Bi1 0.8361 0.3361 0.1722  2 Sm 3.24, 4 Pr 3.26-3.28
Bi2 0.1639 0.6639 0.8278  2 Sm 3.24, 4 Pr 3.26-3.28
Bi3 0.5000 0.0000 0.5000  2 Sm 3.26, 4 Pr 3.27

Results
final energy: -5.268 eV per atom
formation energy from the elements: -947 meV per atom
total magnetic moment: 0.00 μB per cell

=====

No. 7
## HfCrAgS4 (PBE)

Data for crystalline HfCrAgS4 at its relaxed geometry.

Cell: 3.5983 11.3638 13.1037 Å, 90.00 90.00 90.00°
With the nearest neighbours (Å) after each atom.
Element x y z (fractional)
Hf1 0.5000 0.9491 0.8649  6 S 2.53-2.56
Hf2 0.5000 0.4491 0.1351  6 S 2.53-2.56
Hf3 0.5000 0.9115 0.3414  6 S 2.52-2.61
Hf4 0.5000 0.4115 0.6586  6 S 2.52-2.61
Cr1 0.0000 0.0484 0.6411  6 S 2.37-2.47
Cr2 0.0000 0.5484 0.3589  6 S 2.37-2.47
Cr3 0.0000 0.0839 0.1592  6 S 2.40-2.51
Cr4 0.0000 0.5839 0.8408  6 S 2.40-2.51
Ag1 0.5000 0.7560 0.0638  7 S 2.79-2.99
Ag2 0.0000 0.2459 0.4448  5 S 2.79-3.04
Ag3 0.0000 0.7459 0.5552  5 S 2.79-3.04
Ag4 0.5000 0.2560 0.9362  7 S 2.79-2.99
S1 0.0000 0.9689 0.4660  1 Cr 2.47, 2 Hf 2.52
S2 0.5000 0.0421 0.0410  2 Cr 2.42, 1 Hf 2.54
S3 0.5000 0.5421 0.9590  2 Cr 2.42, 1 Hf 2.54
S4 0.0000 0.4689 0.5340  1 Cr 2.47, 2 Hf 2.52
S5 0.5000 0.9117 0.6744  2 Cr 2.42, 1 Hf 2.53
S6 0.0000 0.0961 0.8174  1 Cr 2.37, 2 Hf 2.53
S7 0.0000 0.5961 0.1826  1 Cr 2.37, 2 Hf 2.53
S8 0.5000 0.4117 0.3256  2 Cr 2.42, 1 Hf 2.53
S9 0.0000 0.8804 0.2070  1 Cr 2.40, 2 Hf 2.54
S10 0.5000 0.1215 0.2770  2 Cr 2.41, 1 Hf 2.53
S11 0.5000 0.6215 0.7230  2 Cr 2.41, 1 Hf 2.53
S12 0.0000 0.3804 0.7930  1 Cr 2.40, 2 Hf 2.54
S13 0.0000 0.7938 0.8999  1 Cr 2.51, 2 Hf 2.56
S14 0.5000 0.1906 0.6037  2 Cr 2.47, 1 Hf 2.61
S15 0.5000 0.6906 0.3963  2 Cr 2.47, 1 Hf 2.61
S16 0.0000 0.2938 0.1001  1 Cr 2.51, 2 Hf 2.56

Results
final energy: -6.410 eV per atom
total magnetic moment: 11.99 μB per cell
polymorph energy (0 for the lowest one): 0.096 eV/atom
ΔE_f (raw): -5.94 eV per formula unit

=====

No. 8
## Cu2OsAu (PBE)

Data for crystalline Cu2OsAu at its relaxed geometry.

Cell: 4.7021 4.7021 4.7021 Å, 131.65 131.65 70.78°
With the nearest neighbours (Å) after each atom.
Element x y z (fractional)
Au1 0.7500 0.2500 0.5000  4 Os 2.72, 8 Cu 2.72
Cu1 0.0000 0.0000 0.0000  4 Au 2.72, 4 Cu 2.72, 4 Os 2.72
Cu2 0.2500 0.7500 0.5000  4 Cu 2.72, 4 Os 2.72, 4 Au 2.72
Os1 0.5000 0.5000 0.0000  8 Cu 2.72, 4 Au 2.72

Results
final energy: -5.153 eV per atom
formation energy from the elements: 522 meV per atom
total magnetic moment: 0.00 μB per cell
polymorph energy (0 for the lowest one): 0.293 eV/atom

=====

No. 9
## Y7Ni2Ag2 (PBE)

Data for crystalline Y7Ni2Ag2 at its relaxed geometry.

Cell: 6.7325 6.9907 6.7325 Å, 90.00 110.02 90.00°
With the nearest neighbours (Å) after each atom.
Element x y z (fractional)
Y1 0.9998 0.2504 0.5003  2 Ni 2.65
Y2 0.5003 0.7496 0.9998  2 Ni 2.65
Y3 0.0002 0.7496 0.4997  2 Ni 2.65
Y4 0.4997 0.2504 0.0002  2 Ni 2.65
Y5 0.0000 0.0000 0.0000  2 Ni 3.26
Y6 0.5002 0.7566 0.4998  2 Ni 2.83, 2 Ag 3.06
Y7 0.4998 0.2434 0.5002  2 Ni 2.83, 2 Ag 3.06
Ni1 0.7049 0.0000 0.2951  6 Y 2.65-2.83
Ni2 0.2951 0.0000 0.7049  6 Y 2.65-2.83
Ag1 0.8215 0.5000 0.8215  1 Ag 2.76, 2 Y 3.06
Ag2 0.1785 0.5000 0.1785  1 Ag 2.76, 2 Y 3.06

Results
final energy: -5.815 eV per atom
formation energy from the elements: -132 meV per atom
total magnetic moment: 0.00 μB per cell

=====

No. 10
## Nd3GaHg2 (PBE)

Data for crystalline Nd3GaHg2 at its relaxed geometry.

Cell: 3.7647 3.7647 11.5433 Å, 90.00 90.00 90.00°
With the nearest neighbours (Å) after each atom.
Element x y z (fractional)
Nd1 0.0000 0.0000 0.0000  8 Hg 3.32
Nd2 0.0000 0.0000 0.6551  4 Ga 3.21, 4 Hg 3.33, 1 Nd 3.58
Nd3 0.0000 0.0000 0.3449  4 Ga 3.21, 4 Hg 3.33, 1 Nd 3.58
Ga1 0.5000 0.5000 0.5000  8 Nd 3.21
Hg1 0.5000 0.5000 0.8286  8 Nd 3.32-3.33
Hg2 0.5000 0.5000 0.1714  8 Nd 3.32-3.33

Results
final energy: -3.483 eV per atom
formation energy from the elements: -494 meV per atom
total magnetic moment: 0.55 μB per cell
polymorph energy (0 for the lowest one): 0.000 eV/atom

=====

No. 11
## AgHgI (PBE)

Data for crystalline AgHgI at its relaxed geometry.

Cell: 5.1216 5.1216 5.1216 Å, 60.00 60.00 60.00°
With the nearest neighbours (Å) after each atom.
Element x y z (fractional)
I1 0.0000 0.0000 0.0000  4 Ag 3.14
Hg1 0.5000 0.5000 0.5000  4 Ag 3.14
Ag1 0.2500 0.2500 0.2500  4 Hg 3.14, 4 I 3.14

Results
final energy: -1.581 eV per atom
total magnetic moment: 0.00 μB per cell
polymorph energy (0 for the lowest one): 0.129 eV/atom
ΔE_f (raw): -0.04 eV per formula unit

=====

No. 12
## Tb12DyTh7 (PBE)

Data for crystalline Tb12DyTh7 at its relaxed geometry.

Cell: 10.0103 10.0103 10.0103 Å, 109.47 109.47 109.47°
With the nearest neighbours (Å) after each atom.
Element x y z (fractional)
Tb1 0.4914 0.7461 0.7452  2 Th 2.89
Tb2 0.0009 0.7461 0.2548  2 Th 2.89
Tb3 0.5086 0.2539 0.2548  2 Th 2.89
Tb4 0.9991 0.2539 0.7452  2 Th 2.89
Tb5 0.7452 0.9991 0.2539  2 Th 2.89
Tb6 0.7452 0.4914 0.7461  2 Th 2.89
Tb7 0.2548 0.0009 0.7461  2 Th 2.89
Tb8 0.2548 0.5086 0.2539  2 Th 2.89
Tb9 0.7461 0.7452 0.4914  2 Th 2.89
Tb10 0.2539 0.2548 0.5086  2 Th 2.89
Tb11 0.7461 0.2548 0.0009  2 Th 2.89
Tb12 0.2539 0.7452 0.9991  2 Th 2.89
Dy1 0.0000 0.0000 0.0000  12 Tb 4.16
Th1 0.5000 0.5000 0.0000  12 Tb 4.02-4.09
Th2 0.0000 0.5000 0.5000  12 Tb 4.02-4.09
Th3 0.5000 0.0000 0.5000  12 Tb 4.02-4.09
Th4 0.5000 0.5000 0.5000  6 Tb 2.89
Th5 0.0000 0.0000 0.5000  6 Tb 2.89
Th6 0.5000 0.0000 0.0000  6 Tb 2.89
Th7 0.0000 0.5000 0.0000  6 Tb 2.89

Results
final energy: -4.663 eV per atom
formation energy from the elements: 942 meV per atom
total magnetic moment: 0.01 μB per cell